Computed, not measured: a PBEsol-optimized structure of Ag2P2Cl at the SCAN level of DFT.

abc: 3.4109 3.4109 15.0177
angles: 90.00 90.00 90.00
Space group I4/mmm (No. 139)
Unique sites:
Ag (0.0000, 0.0000, 0.1030) [4 per cell]
P (0.0000, 0.5000, 0.2500) [4 per cell]
Cl (0.0000, 0.0000, 0.5000) [2 per cell]

Properties
energy relative to the elements, uncorrected: 0.6 eV per formula unit
calculated density: 6.0 g cm⁻³
density of states at the Fermi level: 1.6 states/eV per cell
magnetization: 0.00 μB per cell


Computed, not measured: a PBEsol-optimized structure of CsBa3O at the SCAN level of DFT.

abc: 6.2070 6.2070 6.2070
angles: 90.00 90.00 90.00
Space group Pm-3m (No. 221)
Unique sites:
Cs (0.0000, 0.0000, 0.0000) [1 per cell]
Ba (0.0000, 0.0000, 0.5000) [3 per cell]
O (0.5000, 0.5000, 0.5000) [1 per cell]

Properties
energy relative to the elements, uncorrected: 5.1 eV per formula unit
calculated density: 3.9 g cm⁻³
density of states at the Fermi level: 6.0 states/eV per cell
magnetization: 0.00 μB per cell


Computed, not measured: a PBEsol-optimized structure of LiP2ClO at the SCAN level of DFT.

abc: 4.5188 4.5188 3.3978
angles: 90.00 90.00 90.00
Space group P4/mmm (No. 123)
Unique sites:
Li (0.0000, 0.0000, 0.0000) [1 per cell]
P (0.0000, 0.5000, 0.0000) [2 per cell]
Cl (0.5000, 0.5000, 0.5000) [1 per cell]
O (0.0000, 0.0000, 0.5000) [1 per cell]

Properties
energy relative to the elements, uncorrected: 3.4 eV per formula unit
calculated density: 2.9 g cm⁻³
density of states at the Fermi level: 3.2 states/eV per cell
magnetization: 0.00 μB per cell


Copy entry 1 word for word.
Computed, not measured: a PBEsol-optimized structure of Ag2P2Cl at the SCAN level of DFT.

abc: 3.4109 3.4109 15.0177
angles: 90.00 90.00 90.00
Space group I4/mmm (No. 139)
Unique sites:
Ag (0.0000, 0.0000, 0.1030) [4 per cell]
P (0.0000, 0.5000, 0.2500) [4 per cell]
Cl (0.0000, 0.0000, 0.5000) [2 per cell]

Properties
energy relative to the elements, uncorrected: 0.6 eV per formula unit
calculated density: 6.0 g cm⁻³
density of states at the Fermi level: 1.6 states/eV per cell
magnetization: 0.00 μB per cell